VASP calculation (PBE) on a relaxed Fe2W crystal.

**Formation energy from the elements**: 585 meV per atom
**Calculated total energy**: -9.374 eV per atom
**Crystal system**: tetragonal

Unit cell a=7.305 b=7.305 c=7.305 alpha=153.26 beta=153.26 gamma=38.17
Atoms (fractional coordinates):
W: 0.000 0.000 0.000
W: 0.750 0.250 0.500
Fe: 0.421 0.421 0.000
Fe: 0.329 0.829 0.500
Fe: 0.579 0.579 0.000
Fe: 0.171 0.671 0.500